First-principles (GGA-PBE) data for an optimized crystal structure of RbOF3, as listed in Alexandria via LeMat-Bulk.

The space group is Pm-3m (No. 221) and the conventional cell measures 4.999, 4.999 and 4.999 Å, with angles of 90.00, 90.00 and 90.00 degrees. Symmetry generates all atoms from Rb at (0.000, 0.000, 0.000), O at (0.500, 0.500, 0.500) and F at (0.000, 0.000, 0.500).

The value obtained for the energy above the most stable polymorph in this dataset is 644 meV/atom. The value obtained for the formation energy from raw total energies is -0.7 eV per formula unit.

First-principles (GGA-PBE) data for an optimized crystal structure of RbO3F, as listed in Alexandria via LeMat-Bulk.

The space group is Pm-3m (No. 221) and the conventional cell measures 4.463, 4.463 and 4.463 Å, with angles of 90.00, 90.00 and 90.00 degrees. Symmetry generates all atoms from Rb at (0.000, 0.000, 0.000), O at (0.000, 0.500, 0.500) and F at (0.500, 0.500, 0.500).

The value obtained for the formation energy from raw total energies is 3.2 eV per formula unit.

First-principles (GGA-PBE) data for an optimized crystal structure of Rb2O2F, as listed in Alexandria via LeMat-Bulk.

The space group is I4/mmm (No. 139) and the conventional cell measures 5.223, 5.223 and 7.660 Å, with angles of 90.00, 90.00 and 90.00 degrees. Symmetry generates all atoms from Rb at (0.000, 0.500, 0.250), O at (0.000, 0.000, 0.088) and F at (0.000, 0.000, 0.500).

The value obtained for the formation energy from raw total energies is -7.3 eV per formula unit.

First-principles (GGA-PBE) data for an optimized crystal structure of RbOF3, as listed in Alexandria via LeMat-Bulk.

The space group is Pm-3m (No. 221) and the conventional cell measures 4.043, 4.043 and 4.043 Å, with angles of 90.00, 90.00 and 90.00 degrees. Symmetry generates all atoms from Rb at (0.000, 0.000, 0.000), O at (0.500, 0.500, 0.500) and F at (0.000, 0.500, 0.500).

The value obtained for the energy above the most stable polymorph in this dataset is 0 meV/atom. The value obtained for the formation energy from raw total energies is -3.9 eV per formula unit.